Computed, not measured: a relaxed structure of YZn3CuPd at the PBE level of DFT.

Values from the calculation:
N(E_F): 0.503 states/eV per atom
VASP energy: -3.48 eV per atom
ΔH_f (0 K): -220 meV per atom

The structure in POSCAR format:
```
YZn3CuPd
1.0
5.3065 0.0000 0.0000
0.0000 7.9706 0.0000
0.0000 -3.9853 5.4808
Cu Pd Zn Y
2 2 6 2
direct
0.2500 0.9487 0.8975
0.7500 0.0513 0.1025
0.2500 0.4090 0.8180
0.7500 0.5910 0.1820
0.0000 0.2510 0.0000
0.5000 0.7490 0.0000
0.7500 0.8277 0.6553
0.0000 0.7490 0.0000
0.2500 0.1723 0.3447
0.5000 0.2510 0.0000
0.2500 0.6944 0.3887
0.7500 0.3056 0.6113
```


Computed, not measured: a relaxed structure of YbCu4Pd at the PBE level of DFT.

Values from the calculation:
N(E_F): 2.734 states/eV per atom
VASP energy: -4.13 eV per atom
ΔH_f (0 K): -283 meV per atom

The structure in POSCAR format:
```
YbCu4Pd
1.0
5.0148 0.0000 0.0000
2.5074 4.3429 0.0000
2.5074 1.4476 4.0946
Cu Pd Yb
4 1 1
direct
0.6242 0.6242 0.6242
0.6242 0.6242 0.1275
0.1275 0.6242 0.6242
0.6242 0.1275 0.6242
0.2500 0.2500 0.2500
0.0000 0.0000 0.0000
```


Computed, not measured: a relaxed structure of ZnCuPd14 at the PBE level of DFT.

Values from the calculation:
N(E_F): 1.872 states/eV per atom
VASP energy: -4.96 eV per atom
ΔH_f (0 K): -80 meV per atom

The structure in POSCAR format:
```
ZnCuPd14
1.0
5.5303 -0.3203 0.0000
-2.4621 4.9623 0.0000
0.0000 0.0000 9.1190
Pd Cu Zn
14 1 1
direct
0.3756 0.6244 0.2524
0.3756 0.6244 0.7476
0.8736 0.6266 0.2578
0.7084 0.7920 0.0000
0.8758 0.1242 0.2528
0.7074 0.2926 0.0000
0.3734 0.1264 0.2578
0.5442 0.9564 0.5000
0.2074 0.7926 0.0000
0.0436 0.4558 0.5000
0.3734 0.1264 0.7422
0.2080 0.2916 0.0000
0.8758 0.1242 0.7472
0.8736 0.6266 0.7422
0.0418 0.9582 0.5000
0.5424 0.4576 0.5000
```


Computed, not measured: a relaxed structure of ZnCu6Pd at the PBE level of DFT.

Values from the calculation:
N(E_F): 0.588 states/eV per atom
Polymorph energy (0 for the lowest one): 0.0 meV per atom
VASP energy: -3.94 eV per atom
ΔH_f (0 K): -60 meV per atom

The structure in POSCAR format:
```
ZnCu6Pd
1.0
4.2429 0.0000 0.0000
0.0000 5.2617 -0.1779
0.0000 -2.4891 4.6392
Cu Pd Zn
6 1 1
direct
0.0000 0.5867 0.9247
0.0000 0.0753 0.4133
0.5000 0.9154 0.0846
0.5000 0.9155 0.5800
0.0000 0.5870 0.4130
0.5000 0.4200 0.0845
0.5000 0.4170 0.5830
0.0000 0.0829 0.9171
```


Computed, not measured: a relaxed structure of Zn5Cu2Pd at the PBE level of DFT.

Values from the calculation:
N(E_F): 0.189 states/eV per atom
Polymorph energy (0 for the lowest one): 86.3 meV per atom
VASP energy: -2.60 eV per atom
ΔH_f (0 K): -128 meV per atom

The structure in POSCAR format:
```
Zn5Cu2Pd
1.0
-2.8443 0.0519 6.0673
-5.9957 -1.0519 -2.8018
5.1237 -4.5041 -1.2600
Cu Zn Pd
4 10 2
direct
0.8604 0.6396 0.0000
0.1396 0.3604 0.0000
0.3604 0.8604 0.0000
0.6396 0.1396 0.0000
0.5074 0.3116 0.3189
0.6884 0.1884 0.6811
0.5000 0.5000 0.0000
0.0074 0.5074 0.3189
0.1884 0.9926 0.6811
0.8116 0.0074 0.3189
0.0000 0.0000 0.0000
0.3116 0.8116 0.3189
0.9926 0.4926 0.6811
0.4926 0.6884 0.6811
0.7500 0.7500 0.5000
0.2500 0.2500 0.5000
```


Computed, not measured: a relaxed structure of Zn2CuPd8 at the PBE level of DFT.

Values from the calculation:
N(E_F): 0.995 states/eV per atom
Polymorph energy (0 for the lowest one): 208.9 meV per atom
VASP energy: -4.37 eV per atom
ΔH_f (0 K): 6 meV per atom

The structure in POSCAR format:
```
Zn2CuPd8
1.0
0.1355 -4.3642 -1.8050
6.0883 -0.3498 -3.1592
5.5722 -2.8444 2.8336
Pd Zn Cu
8 2 1
direct
0.2196 0.7714 0.3651
0.9286 0.2245 0.2245
0.2196 0.3651 0.7714
0.6673 0.6450 0.6450
0.7804 0.2286 0.6349
0.0714 0.7755 0.7755
0.3327 0.3550 0.3550
0.7804 0.6349 0.2286
0.4999 0.1319 0.1319
0.5001 0.8681 0.8681
0.0000 0.0000 0.0000
```


Computed, not measured: a relaxed structure of Zn8Cu6Pd at the PBE level of DFT.

Values from the calculation:
N(E_F): 0.530 states/eV per atom
VASP energy: -2.73 eV per atom
ΔH_f (0 K): -62 meV per atom

The structure in POSCAR format:
```
Zn8Cu6Pd
1.0
6.6244 -0.0001 0.0000
3.3123 5.7369 0.0000
3.3122 1.9123 5.4242
Zn Cu Pd
8 6 1
direct
0.1704 0.3455 0.6156
0.8686 0.1704 0.6156
0.8296 0.6545 0.3844
0.6545 0.1314 0.3844
0.5895 0.5895 0.2314
0.4105 0.4105 0.7686
0.3455 0.8686 0.6156
0.1314 0.8296 0.3844
0.9453 0.7163 0.8584
0.0547 0.2837 0.1416
0.2837 0.5200 0.1416
0.5200 0.0547 0.1416
0.4800 0.9453 0.8584
0.7163 0.4800 0.8584
0.0000 0.0000 0.0000
```


Computed, not measured: a relaxed structure of Zn4CuPd7 at the PBE level of DFT.

Values from the calculation:
N(E_F): 0.317 states/eV per atom
VASP energy: -3.97 eV per atom
ΔH_f (0 K): -172 meV per atom

The structure in POSCAR format:
```
Zn4CuPd7
1.0
-3.8528 1.4864 -1.9664
-1.3440 -4.3622 -5.9837
-5.0522 -3.3275 2.0643
Zn Pd Cu
4 7 1
direct
0.7089 0.6615 0.9207
0.2911 0.3385 0.0793
0.5706 0.2191 0.6396
0.4294 0.7809 0.3604
0.6515 0.4194 0.2776
0.7865 0.8726 0.5543
0.5000 0.0000 0.0000
0.2135 0.1274 0.4457
0.9275 0.3301 0.8148
0.3485 0.5806 0.7224
0.0725 0.6699 0.1852
0.0000 0.0000 0.0000
```